NbCrP2Cl (PBE, relaxed); SG = P4/mmm (123); theoretical density = 4.3 Mg/m³; uncorrected formation energy = 50.5 kJ/mol of atoms; raw total energy = -29.7 eV for the cell shown; relative energy among the computed polymorphs = 0.000 eV per atom
1.0
4.498 0.000 0.000
0.000 4.498 0.000
0.000 0.000 4.620
Nb Cr P Cl
1 1 2 1
Cartesian
0.000 0.000 0.000
2.249 2.249 2.310
0.000 2.249 2.310
2.249 0.000 2.310
2.249 2.249 0.000

NbCrP2Cl (PBE, relaxed); SG = P4/mmm (123); theoretical density = 3.6 Mg/m³; uncorrected formation energy = 86.8 kJ/mol of atoms; raw total energy = -27.9 eV for the cell shown; relative energy among the computed polymorphs = 0.377 eV per atom
1.0
4.853 0.000 0.000
0.000 4.853 0.000
0.000 0.000 4.744
Nb Cr P Cl
1 1 2 1
Cartesian
0.000 0.000 0.000
2.426 2.426 2.372
0.000 2.426 0.000
2.426 0.000 0.000
0.000 0.000 2.372

NbCrPCl2 (PBE, relaxed); SG = P4/mmm (123); theoretical density = 3.5 Mg/m³; uncorrected formation energy = 8.8 kJ/mol of atoms; raw total energy = -28.3 eV for the cell shown; relative energy among the computed polymorphs = 0.000 eV per atom
1.0
4.827 0.000 0.000
0.000 4.827 0.000
0.000 0.000 4.991
Nb Cr P Cl
1 1 1 2
Cartesian
0.000 0.000 0.000
2.413 2.413 2.495
0.000 0.000 2.495
0.000 2.413 0.000
2.413 0.000 0.000

NbCrPCl2 (PBE, relaxed); SG = P4/mmm (123); theoretical density = 4.0 Mg/m³; uncorrected formation energy = 35.0 kJ/mol of atoms; raw total energy = -27.0 eV for the cell shown; relative energy among the computed polymorphs = 0.271 eV per atom
1.0
4.519 0.000 0.000
0.000 4.519 0.000
0.000 0.000 5.071
Nb Cr P Cl
1 1 1 2
Cartesian
0.000 0.000 0.000
2.259 2.259 2.536
2.259 2.259 0.000
0.000 2.259 2.536
2.259 0.000 2.536